# 1
# CoIrS4

A relaxed structure of CoIrS4 (GGA-PBE, Alexandria via LeMat-Bulk).

Calculated values
As for the space group: P2_1/c (14). As for the total energy: -5.74 eV/atom. The crystal system is monoclinic.

Lattice parameters (Å, degrees): 5.633 5.636 5.649 90.00 90.10 90.00
Site moments in Bohr magnetons follow the coordinates.
Atoms (fractional coordinates):
Co 0.000 0.000 0.000  1.41
Co 0.500 0.500 0.000  1.41
Ir 0.500 0.000 0.500  0.11
Ir 0.000 0.500 0.500  0.11
S 0.886 0.615 0.108  0.05
S 0.614 0.115 0.892  0.05
S 0.385 0.386 0.378  0.04
S 0.115 0.886 0.622  0.04
S 0.114 0.385 0.892  0.05
S 0.386 0.885 0.108  0.05
S 0.615 0.614 0.622  0.04
S 0.885 0.114 0.378  0.04

---

# 2
# CoIr3S

A relaxed structure of CoIr3S (GGA-PBE, Alexandria via LeMat-Bulk).

Calculated values
The energy above the most stable polymorph in this dataset comes out at 769 meV/atom. As for the space group: Pm-3m (221). As for the total energy: -5.77 eV/atom. The crystal system is cubic.

Lattice parameters (Å, degrees): 4.492 4.492 4.492 90.00 90.00 90.00
Site moments in Bohr magnetons follow the coordinates.
Atoms (fractional coordinates):
S 0.500 0.500 0.500  0.14
Ir 0.000 0.500 0.000  1.05
Ir 0.000 0.000 0.500  1.22
Ir 0.500 0.000 0.000  0.68
Co 0.000 0.000 0.000  1.48

---

# 3
# CoIrS

A relaxed structure of CoIrS (GGA-PBE, Alexandria via LeMat-Bulk).

Calculated values
The energy above the most stable polymorph in this dataset comes out at 87 meV/atom. As for the space group: P3m1 (156). As for the total energy: -6.67 eV/atom. The crystal system is trigonal.

Lattice parameters (Å, degrees): 2.888 2.888 5.630 90.00 90.00 120.00
Atoms (fractional coordinates):
S 0.667 0.333 0.093
Ir 0.667 0.333 0.697
Co 0.000 0.000 0.324